Record 1
DFT (GGA-PBE) results for an optimized crystal structure of YZnFeCu.

Output
DFT formation energy: 103 meV/atom
Total magnetic moment: 2.1 μB/f.u.
Excess energy over the best structure of this formula in the dataset: 0 meV per atom

a b c (Å): 6.439 6.439 6.439
angles (deg): 90.00 90.00 90.00
Space group F-43m (No. 216)
One atom of each set of equivalent atoms:
Y1 0.000 0.000 0.000 x4
Zn1 0.000 0.000 0.500 x4
Fe1 0.250 0.250 0.250 x4
Cu1 0.250 0.250 0.750 x4

Record 2
DFT (GGA-PBE) results for an optimized crystal structure of YZnFeCu.

Output
DFT formation energy: 181 meV/atom
Total magnetic moment: 2.4 μB/f.u.
Excess energy over the best structure of this formula in the dataset: 78 meV per atom

a b c (Å): 6.465 6.465 6.465
angles (deg): 90.00 90.00 90.00
Space group F-43m (No. 216)
One atom of each set of equivalent atoms:
Y1 0.000 0.000 0.000 x4
Zn1 0.250 0.250 0.250 x4
Fe1 0.250 0.250 0.750 x4
Cu1 0.000 0.000 0.500 x4

Record 3
DFT (GGA-PBE) results for an optimized crystal structure of Zn2FeCu5.

Output
DFT formation energy: 37 meV/atom
Total magnetic moment: 2.4 μB/f.u.

a b c (Å): 4.092 4.092 5.821
angles (deg): 90.00 90.00 90.00
Space group P4/mmm (No. 123)
One atom of each set of equivalent atoms:
Zn1 0.000 0.000 0.000 x1
Zn2 0.500 0.500 0.500 x1
Fe1 0.000 0.000 0.500 x1
Cu1 0.000 0.500 0.253 x4
Cu2 0.500 0.500 0.000 x1

Record 4
DFT (GGA-PBE) results for an optimized crystal structure of Zn2FeCu5.

Output
DFT formation energy: 37 meV/atom
Total magnetic moment: 2.4 μB/f.u.

a b c (Å): 4.097 4.097 5.803
angles (deg): 90.00 90.00 90.00
Space group P4/mmm (No. 123)
One atom of each set of equivalent atoms:
Zn1 0.000 0.000 0.000 x1
Zn2 0.500 0.500 0.500 x1
Fe1 0.000 0.000 0.500 x1
Cu1 0.000 0.500 0.252 x4
Cu2 0.500 0.500 0.000 x1

Record 5
DFT (GGA-PBE) results for an optimized crystal structure of ZrFe2Cu.

Output
DFT formation energy: 57 meV/atom
Total magnetic moment: 4.1 μB/f.u.

a b c (Å): 6.108 6.108 6.108
angles (deg): 90.00 90.00 90.00
Space group F-43m (No. 216)
One atom of each set of equivalent atoms:
Zr1 0.000 0.000 0.000 x4
Fe1 0.000 0.000 0.500 x4
Fe2 0.250 0.250 0.250 x4
Cu1 0.250 0.250 0.750 x4

Record 6
DFT (GGA-PBE) results for an optimized crystal structure of Ga2Cu9.

a b c (Å): 2.5854 2.5854 32.2975
angles (deg): 90.00 90.00 120.00
Space group P-3m1 (No. 164)
One atom of each set of equivalent atoms:
Ga1 0.3333 0.6667 0.3254 x2
Cu1 0.0000 0.0000 0.0000 x1
Cu2 0.0000 0.0000 0.1910 x2
Cu3 0.3333 0.6667 0.1273 x2
Cu4 0.3333 0.6667 0.7443 x2
Cu5 0.3333 0.6667 0.9364 x2

Record 7
DFT (GGA-PBE) results for an optimized crystal structure of GaCu7.

Output
Excess energy over the best structure of this formula in the dataset: 0 meV per atom

a b c (Å): 7.313 7.313 7.313
angles (deg): 90.00 90.00 90.00
Space group Fm-3m (No. 225)
One atom of each set of equivalent atoms:
Ga1 0.000 0.000 0.000 x4
Cu1 0.000 0.000 0.500 x4
Cu2 0.000 0.250 0.250 x24

Record 8
DFT (GGA-PBE) results for an optimized crystal structure of GaCu7.

Output
Excess energy over the best structure of this formula in the dataset: 91 meV per atom

a b c (Å): 2.573 3.536 30.978
angles (deg): 90.00 90.00 90.00
Space group Pmmn (No. 59, origin choice 2)
One atom of each set of equivalent atoms:
Ga1 0.250 0.250 0.180 x2
Cu1 0.250 0.250 0.270 x2
Cu2 0.250 0.250 0.354 x2
Cu3 0.250 0.250 0.437 x2
Cu4 0.250 0.250 0.521 x2
Cu5 0.250 0.250 0.604 x2
Cu6 0.250 0.250 0.688 x2
Cu7 0.250 0.250 0.772 x2

Number 1: calculated volume 267.0 Å³/cell, total DFT energy (no corrections) -0.3554 Ry per atom, calculated density 6810 kg/m³. Number 2: calculated volume 270.3 Å³/cell, total DFT energy (no corrections) -0.3497 Ry per atom, calculated density 6727 kg/m³. Number 3: calculated volume 97.5 Å³/cell, total DFT energy (no corrections) -0.2676 Ry per atom, calculated density 8594 kg/m³. Number 4: calculated volume 97.4 Å³/cell, total DFT energy (no corrections) -0.2676 Ry per atom, calculated density 8598 kg/m³. Number 5: calculated volume 227.9 Å³/cell, total DFT energy (no corrections) -0.5265 Ry per atom, calculated density 7766 kg/m³. Number 6: calculated volume 187.0 Å³/cell, total DFT energy (no corrections) -0.2600 Ry per atom, calculated density 6318 kg/m³. Number 7: calculated volume 391.1 Å³/cell, total DFT energy (no corrections) -0.2709 Ry per atom, calculated density 8738 kg/m³. Number 8: calculated volume 281.8 Å³/cell, total DFT energy (no corrections) -0.2642 Ry per atom, calculated density 6064 kg/m³.